1.
5
Lattice="5.1256 0.0000 0.0000 0.0000 5.1256 0.0000 0.0000 0.0000 4.8592" Properties=species:S:1:pos:R:3 comment="RbNbPCl2, relaxed, DFT PBE" magmom_total_mub_per_atom=0.04 sg=P4/mmm polymorph_energy_mev_per_atom=0 pbc="T T T"
Cl 2.5628 0.0000 0.0000
Rb 2.5628 2.5628 2.4296
Nb 0.0000 0.0000 0.0000
P 0.0000 0.0000 2.4296
Cl 0.0000 2.5628 0.0000

=====

2.
5
Lattice="-2.0524 2.0304 -3.8290 0.5793 -4.0701 -2.4687 -4.5542 -1.6108 1.5870" Properties=species:S:1:pos:R:3 comment="NbRePCl2, relaxed, DFT PBE" magmom_total_mub_per_atom=1.11 sg=P4/mmm polymorph_energy_mev_per_atom=0 pbc="T T T"
Re -3.0137 -1.8253 -2.3554
Cl 0.2896 -2.0351 -1.2344
P -2.2771 -0.8054 0.7935
Cl -1.0262 1.0152 -1.9145
Nb 0.0000 0.0000 0.0000

=====

3.
5
Lattice="4.7846 0.0000 0.0000 0.0000 4.7846 0.0000 0.0000 0.0000 4.6710" Properties=species:S:1:pos:R:3 comment="NbRePCl2, relaxed, DFT PBE" magmom_total_mub_per_atom=0.84 sg=P4/mmm polymorph_energy_mev_per_atom=60 pbc="T T T"
P 0.0000 0.0000 2.3355
Cl 0.0000 2.3923 0.0000
Re 0.0000 0.0000 0.0000
Nb 2.3923 2.3923 2.3355
Cl 2.3923 0.0000 0.0000